No. 1
The following is a DFT calculation (PBE) of an optimized crystal structure of La2MoP.

The structure in POSCAR format:
```
La2MoP
1.0
0.0000 3.5075 3.5075
3.5075 0.0000 3.5075
3.5075 3.5075 0.0000
Mo P La
1 1 2
Cartesian
3.5075 3.5075 3.5075
5.2612 5.2612 5.2612
1.7537 1.7537 1.7537
0.0000 0.0000 0.0000
```

Summary:
Calculated formation energy, eV/f.u.: 0.496
Magnetization, μB/f.u.: 0.41
DOS(E_F), states/eV per cell: 6.68
Uncorrected energy, eV for the cell shown: -25.6


No. 2
The following is a DFT calculation (PBE) of an optimized crystal structure of La2MoP.

The structure in POSCAR format:
```
La2MoP
1.0
3.3683 0.0000 0.0000
0.0000 3.3683 0.0000
0.0000 0.0000 8.6409
La P Mo
2 1 1
Cartesian
1.6842 1.6842 2.7768
0.0000 0.0000 7.9400
1.6842 1.6842 5.8995
0.0000 0.0000 4.9859
```

Summary:
Calculated formation energy, eV/f.u.: -1.207
Magnetization, μB/f.u.: 0.00
DOS(E_F), states/eV per cell: 4.31
Uncorrected energy, eV for the cell shown: -27.3


No. 3
The following is a DFT calculation (PBE) of an optimized crystal structure of La2MoP.

The structure in POSCAR format:
```
La2MoP
1.0
1.8029 5.5155 -0.0020
-1.8029 5.5155 -0.0020
0.0000 1.3847 4.9091
P La Mo
1 2 1
Cartesian
0.0000 2.6542 1.0792
0.0000 9.2791 3.5478
0.0000 10.7085 0.4720
0.0000 7.0126 2.2548
```

Summary:
Calculated formation energy, eV/f.u.: -1.577
Magnetization, μB/f.u.: 0.00
DOS(E_F), states/eV per cell: 3.57
Uncorrected energy, eV for the cell shown: -27.7